Entry 1:
12
Lattice="3.6360 -6.2972 0.0000 3.6360 6.2972 0.0000 -2.4219 0.0000 7.7083" Properties=species:S:1:pos:R:3 comment="Rb3PmBi2S6 PBE relaxed" formation_energy_uncorrected_ev_per_atom=-1.1320 m_tot_mub_per_cell=0.0 spacegroup=C2/m pbc="T T T"
Rb 0.0000 0.0000 0.0000
Rb 3.6360 2.1195 0.0000
Rb 3.6360 -2.1195 0.0000
Pm 2.4250 0.0000 3.8542
Bi 2.4250 4.2005 3.8542
Bi 2.4250 -4.2005 3.8542
S 1.2189 2.0885 2.3227
S 0.0132 0.0000 5.3889
S 1.2189 -2.0885 2.3227
S 3.6312 2.0885 5.3856
S 4.8369 0.0000 2.3194
S 3.6312 -2.0885 5.3856

Entry 2:
16
Lattice="4.1971 2.4232 7.7053 -4.1971 2.4232 7.7053 0.0000 -4.8464 7.7053" Properties=species:S:1:pos:R:3 comment="Rb4Pm3BiS8 PBE relaxed" formation_energy_uncorrected_ev_per_atom=-1.5714 m_tot_mub_per_cell=0.0 spacegroup=R-3m pbc="T T T"
Rb 0.0000 0.0000 0.0000
Rb -2.0985 -1.2116 7.7053
Rb -2.0985 1.2116 15.4106
Rb 0.0000 2.4232 7.7053
Pm -4.1971 0.0000 11.5580
Pm -2.0985 1.2116 3.8527
Pm 2.0985 1.2116 3.8527
Bi 0.0000 0.0000 11.5580
S -2.1075 -1.2168 13.0783
S 0.0000 0.0000 5.3607
S 0.0000 -2.4336 10.0376
S -2.1075 1.2168 10.0376
S 2.1075 -1.2168 13.0783
S 0.0000 2.4336 13.0783
S 0.0000 0.0000 17.7552
S 2.1075 1.2168 10.0376

Entry 3:
8
Lattice="7.2764 0.0000 0.0000 0.0000 4.1966 0.0000 -2.4142 0.0000 7.7045" Properties=species:S:1:pos:R:3 comment="Rb2PmBiS4 PBE relaxed" formation_energy_uncorrected_ev_per_atom=-1.3079 m_tot_mub_per_cell=0.0 spacegroup=P2/m pbc="T T T"
Rb 0.0000 0.0000 0.0000
Rb 3.6382 2.0983 0.0000
Pm -1.2071 2.0983 3.8523
Bi 2.4311 0.0000 3.8523
S -0.0062 0.0000 5.3710
S 1.2005 2.0983 2.3183
S 3.6617 2.0983 5.3862
S 4.8685 0.0000 2.3335